Entry from the Alexandria database: an optimized crystal structure of Zn2Ni2Ru (PBE-GGA).

The value obtained for the magnetization is 0.0 μB/f.u. The value obtained for the calculated formation energy is 16 kJ/mol of formula units. The value obtained for the density of states at the Fermi level is 7.256 states/eV/cell. Its crystal system is tetragonal.

The structure belongs to space group P4/mbm (No. 127); the cell edges are 6.957, 6.957 and 2.618 Å and the angles 90.00°, 90.00° and 90.00°. Symmetry generates all atoms from Zn at (0.129, 0.371, 0.000), Ni at (0.170, 0.670, 0.500) and Ru at (0.000, 0.000, 0.000).

---

Entry from the Alexandria database: an optimized crystal structure of TbCe4Pm3S8 (PBE-GGA).

The value obtained for the magnetization is 2.9 μB/f.u. For the formation energy from raw total energies, the calculation gives -32.66 eV/f.u. The value obtained for the density of states at the Fermi level is 67.108 states/eV/cell. Its crystal system is trigonal.

The structure belongs to space group R-3m (No. 166, hexagonal axes); the cell edges are 8.0292, 8.0292 and 19.7013 Å and the angles 90.00°, 90.00° and 120.00°. Symmetry generates all atoms from Tb at (0.0000, 0.0000, 0.0000), Ce at (0.0000, 0.0000, 0.5000), Ce at (0.0000, 0.5000, 0.5000), Pm at (0.0000, 0.5000, 0.0000), S at (0.0000, 0.0000, 0.2499) and S at (0.0046, 0.5023, 0.7489).